[1]
VASP calculation (PBE) on a relaxed Cu4Ag5 crystal.

Values from the calculation:
Relative energy among the computed polymorphs, kJ/mol of atoms: 3.1

Lattice parameters (Å, degrees): 14.0700 2.8628 7.9350 90.00 120.80 90.00
Last column: nearest neighbours and their distance in Å.
Space group C2/m (No. 12)
Unique sites:
Cu: 0.1255 0.0000 0.2007 x4  3 Cu 2.51-2.64, 6 Ag 2.67-2.76
Cu: 0.1717 0.5000 0.4924 x4  5 Cu 2.51-2.64, 2 Ag 2.74
Ag: 0.0000 0.0000 0.5000 x2  8 Ag 2.83-2.93, 4 Cu 2.84
Ag: 0.0492 0.5000 0.8584 x4  5 Cu 2.67-2.92, 7 Ag 2.86-2.94
Ag: 0.2201 0.0000 0.8208 x4  4 Cu 2.68-2.74, 8 Ag 2.83-2.94

---

[2]
VASP calculation (PBE) on a relaxed CuAg crystal.

Lattice parameters (Å, degrees): 4.7914 13.9922 4.7358 90.00 108.84 90.00
Last column: nearest neighbours and their distance in Å.
Space group C2 (No. 5)
Unique sites:
Cu: 0.0000 0.0000 0.0000 x2  6 Cu 2.68-2.77, 6 Ag 2.71-2.77
Cu: 0.0000 0.0891 0.5000 x2  5 Cu 2.52-2.74, 4 Ag 2.77-2.80
Cu: 0.0000 0.3039 0.5000 x2  3 Cu 2.67-2.81, 8 Ag 2.72-2.81
Cu: 0.0000 0.4947 0.5000 x2  7 Cu 2.67-2.77, 5 Ag 2.71-2.87
Cu: 0.0000 0.9088 0.5000 x2  7 Cu 2.52-2.81, 4 Ag 2.77
Ag: 0.0000 0.1953 0.0000 x2  5 Cu 2.73-2.81, 7 Ag 2.77-2.87
Ag: 0.0000 0.4001 0.0000 x2  4 Ag 2.70-2.87, 8 Cu 2.71-2.77
Ag: 0.0000 0.5933 0.0000 x2  6 Ag 2.70-2.98, 6 Cu 2.73-2.77
Ag: 0.0000 0.7001 0.5000 x2  6 Ag 2.77-2.80, 6 Cu 2.80-2.92
Ag: 0.0000 0.8066 0.0000 x2  5 Cu 2.71-2.77, 7 Ag 2.73-2.98

---

[3]
VASP calculation (PBE) on a relaxed CuAg crystal.

Lattice parameters (Å, degrees): 11.8101 2.7918 9.1849 90.00 101.62 90.00
Last column: nearest neighbours and their distance in Å.
Space group Cm (No. 8)
Unique sites:
Cu: 0.0000 0.0000 0.0000 x2  6 Cu 2.67-2.79, 6 Ag 2.69-2.83
Cu: 0.0127 0.5000 0.5151 x2  5 Cu 2.56-2.79, 6 Ag 2.65-2.77
Cu: 0.1032 0.5000 0.8006 x2  7 Cu 2.63-2.79, 5 Ag 2.69-2.75
Cu: 0.1946 0.0000 0.6083 x2  6 Cu 2.56-2.79, 4 Ag 2.71-2.86
Cu: 0.4018 0.0000 0.1890 x2  4 Cu 2.67-2.79, 7 Ag 2.67-2.79
Ag: 0.0905 0.0000 0.3103 x2  6 Cu 2.65-2.83, 6 Ag 2.79-2.93
Ag: 0.1953 0.5000 0.1003 x2  5 Cu 2.69-2.79, 7 Ag 2.79-2.86
Ag: 0.3017 0.0000 0.8987 x2  6 Cu 2.69-2.72, 6 Ag 2.79-2.81
Ag: 0.3113 0.5000 0.4015 x2  6 Ag 2.75-2.93, 6 Cu 2.77-2.92
Ag: 0.4085 0.5000 0.7004 x2  7 Cu 2.68-2.86, 5 Ag 2.75-2.79

---

[4]
VASP calculation (PBE) on a relaxed Cu3Ag2 crystal.

Values from the calculation:
Relative energy among the computed polymorphs, kJ/mol of atoms: 4.8

Lattice parameters (Å, degrees): 6.6384 2.7829 7.9709 90.00 103.03 90.00
Last column: nearest neighbours and their distance in Å.
Space group Pm (No. 6)
Unique sites:
Cu: 0.0000 0.0000 0.0000 x1  11 Cu 2.53-2.78, 1 Ag 2.75
Cu: 0.0970 0.5000 0.2829 x1  5 Cu 2.60-2.78, 5 Ag 2.68-2.91
Cu: 0.2933 0.5000 0.9017 x1  8 Cu 2.63-2.86, 4 Ag 2.64
Cu: 0.5954 0.0000 0.8225 x1  9 Cu 2.50-2.78, 2 Ag 2.74
Cu: 0.7160 0.5000 0.0859 x1  7 Cu 2.50-2.78, 4 Ag 2.75-2.78
Cu: 0.8827 0.5000 0.7306 x1  7 Cu 2.53-2.78, 3 Ag 2.71-2.74
Ag: 0.1785 0.0000 0.6139 x1  7 Cu 2.64-2.92, 5 Ag 2.70-2.79
Ag: 0.4013 0.0000 0.1890 x1  7 Cu 2.64-2.78, 5 Ag 2.78-2.92
Ag: 0.5005 0.5000 0.5189 x1  4 Cu 2.71-2.91, 8 Ag 2.78-2.92
Ag: 0.8052 0.0000 0.3909 x1  6 Cu 2.68-2.98, 6 Ag 2.70-2.83

---

| no. | formation energy from the elements (kJ/mol of atoms) |
| --- | --- |
| 1 | 7 |
| 2 | 10 |
| 3 | 10 |
| 4 | 9 |